DFT (PBE) results for a relaxed NaPtW crystal.

a = 2.803 Å, b = 2.803 Å, c = 13.981 Å
α = 90.00°, β = 90.00°, γ = 90.00°
Element x y z (fractional)
Pt 0.500 0.500 0.577
Pt 0.000 0.000 0.077
W 0.000 0.000 0.446
W 0.500 0.500 0.946
Na 0.500 0.500 0.247
Na 0.000 0.000 0.747

## Properties
**Calculated formation energy**: 340 meV/atom
**Total energy**: -6.431 eV/atom
**Symmetry**: No. 107

***

DFT (PBE) results for a relaxed HoHfAlHg crystal.

a = 4.996 Å, b = 4.996 Å, c = 4.996 Å
α = 60.00°, β = 60.00°, γ = 60.00°
Element x y z (fractional)
Hg 0.000 0.000 0.000
Ho 0.750 0.750 0.750
Al 0.500 0.500 0.500
Hf 0.250 0.250 0.250

## Properties
**Calculated formation energy**: -191 meV/atom
**Total energy**: -4.835 eV/atom
**Symmetry**: No. 216

***

DFT (PBE) results for a relaxed TiGa3S crystal.

a = 5.061 Å, b = 5.061 Å, c = 5.061 Å
α = 90.00°, β = 90.00°, γ = 90.00°
Element x y z (fractional)
Ga 0.000 0.000 0.500
Ga 0.000 0.500 0.000
Ga 0.500 0.000 0.000
Ti 0.000 0.000 0.000
S 0.500 0.500 0.500

## Properties
**Total energy**: -3.543 eV/atom
**Symmetry**: No. 221
**E_form (uncorrected)**: 0.68 eV/atom

***

DFT (PBE) results for a relaxed Nd3Dy2Cd crystal.

a = 3.534 Å, b = 8.945 Å, c = 13.776 Å
α = 65.57°, β = 82.63°, γ = 78.61°
Element x y z (fractional)
Nd 0.587 0.805 0.021
Nd 0.413 0.195 0.979
Nd 0.067 0.090 0.776
Nd 0.746 0.885 0.622
Nd 0.254 0.115 0.378
Nd 0.933 0.910 0.224
Cd 0.587 0.542 0.284
Cd 0.413 0.458 0.716
Dy 0.774 0.576 0.875
Dy 0.226 0.424 0.125
Dy 0.413 0.700 0.474
Dy 0.587 0.300 0.526

## Properties
**Calculated formation energy**: 35 meV/atom
**Total energy**: -4.035 eV/atom
**Symmetry**: No. 12

***

DFT (PBE) results for a relaxed Sm2DySc crystal.

a = 4.915 Å, b = 4.993 Å, c = 4.993 Å
α = 90.00°, β = 90.00°, γ = 90.00°
Element x y z (fractional)
Sm 0.000 0.500 0.000
Sm 0.000 0.000 0.500
Sc 0.500 0.000 0.000
Dy 0.500 0.500 0.500

## Properties
**Calculated formation energy**: 40 meV/atom
**Total energy**: -5.053 eV/atom
**Symmetry**: No. 123

***

DFT (PBE) results for a relaxed Tb2NdSm crystal.

a = 3.608 Å, b = 3.608 Å, c = 10.199 Å
α = 90.00°, β = 90.00°, γ = 90.00°
Element x y z (fractional)
Sm 0.500 0.500 0.500
Tb 0.000 0.000 0.748
Tb 0.000 0.000 0.252
Nd 0.500 0.500 0.000

## Properties
**Calculated formation energy**: 16 meV/atom
**Total energy**: -4.670 eV/atom
**Symmetry**: No. 123

***

DFT (PBE) results for a relaxed Li2TbPd3 crystal.

a = 4.488 Å, b = 4.488 Å, c = 5.706 Å
α = 90.00°, β = 90.00°, γ = 120.00°
Element x y z (fractional)
Tb 0.000 0.000 0.000
Pd 0.333 0.667 0.217
Pd 0.000 0.000 0.500
Pd 0.667 0.333 0.783
Li 0.333 0.667 0.664
Li 0.667 0.333 0.336

## Properties
**Calculated formation energy**: -600 meV/atom
**Total energy**: -4.606 eV/atom
**Symmetry**: No. 164

***

DFT (PBE) results for a relaxed Na3DyU3N8 crystal.

a = 6.982 Å, b = 6.982 Å, c = 6.980 Å
α = 120.02°, β = 90.00°, γ = 120.00°
Element x y z (fractional)
N 0.270 0.541 0.311
N 0.765 0.530 0.331
N 0.699 0.934 0.669
N 0.730 0.459 0.689
N 0.301 0.066 0.331
N 0.235 0.934 0.669
N 0.765 0.066 0.331
N 0.235 0.470 0.669
U 0.000 0.500 0.500
U 0.500 0.500 0.500
U 0.500 0.000 0.500
Na 0.500 0.500 0.000
Na 0.000 0.500 0.000
Na 0.000 0.000 0.000
Dy 0.000 0.000 0.500

## Properties
**Total energy**: -8.316 eV/atom
**Symmetry**: No. 166
**E_form (uncorrected)**: -1.05 eV/atom